# Dy2S3

A relaxed Dy2S3 crystal (GGA-PBE, Alexandria via LeMat-Bulk).

Cell: 13.770 13.770 13.770 Å, 144.81 144.81 50.62°
Atoms (fractional coordinates):
S (0.382, 0.996, 0.746)
S (0.039, 0.285, 0.613)
S (0.500, 0.254, 0.886)
S (0.364, 0.618, 0.614)
S (0.062, 0.657, 0.753)
S (0.711, 0.823, 0.746)
S (0.077, 0.965, 0.254)
S (0.673, 0.427, 0.387)
S (0.746, 0.632, 0.246)
S (0.004, 0.750, 0.386)
S (0.177, 0.923, 0.887)
S (0.691, 0.938, 0.595)
S (0.573, 0.961, 0.246)
S (0.059, 0.154, 0.747)
S (0.904, 0.309, 0.247)
S (0.688, 0.941, 0.095)
S (0.407, 0.312, 0.253)
S (0.035, 0.289, 0.113)
S (0.368, 0.614, 0.114)
S (0.846, 0.593, 0.905)
S (0.386, 0.500, 0.754)
S (0.343, 0.096, 0.405)
S (0.250, 0.636, 0.254)
S (0.715, 0.327, 0.754)
Dy (0.678, 0.278, 0.879)
Dy (0.375, 0.243, 0.368)
Dy (0.415, 0.915, 0.500)
Dy (0.875, 0.007, 0.632)
Dy (0.549, 0.649, 0.621)
Dy (0.665, 0.665, 0.000)
Dy (0.399, 0.799, 0.121)
Dy (0.993, 0.625, 0.868)
Dy (0.072, 0.451, 0.101)
Dy (0.335, 0.335, 0.000)
Dy (0.028, 0.928, 0.379)
Dy (0.351, 0.972, 0.899)
Dy (0.085, 0.585, 0.500)
Dy (0.722, 0.601, 0.399)
Dy (0.757, 0.125, 0.132)
Dy (0.201, 0.322, 0.601)

Computed properties:
Its density of states at the Fermi level is 0.00 states/eV per cell. The uncorrected formation energy is -2050 meV per atom. The space-group type is I-42d.